This record from Alexandria describes crystalline TcIr2Pt at its relaxed geometry. The functional is PBE.

```
TcIr2Pt
1.0
-3.4972 2.8335 -1.5785
-3.6309 -0.0669 3.0925
4.6741 0.7383 0.5923
Ir Tc Pt
2 1 1
Direct
0.0000 0.0000 0.0000 Ir
0.5000 0.5000 0.0000 Ir
0.2500 0.7500 0.5000 Tc
0.7500 0.2500 0.5000 Pt
```

Summary:
formation energy from the elements	-84	meV per atom
offset from the most stable computed form	0.0571	eV/atom



This record from Alexandria describes crystalline Sm2GdCu at its relaxed geometry. The functional is PBE.

```
Sm2GdCu
1.0
-2.6369 1.1940 -2.1991
0.0049 -0.9287 -3.5146
-6.3787 -8.0935 0.2497
Gd Cu Sm
1 1 2
Direct
0.5000 0.5000 0.5000 Gd
0.0000 0.0000 0.0000 Cu
0.2647 0.2647 0.2058 Sm
0.7353 0.7353 0.7942 Sm
```

Summary:
formation energy from the elements	54	meV per atom
offset from the most stable computed form	0.1147	eV/atom



This record from Alexandria describes crystalline Cs2NaReO4 at its relaxed geometry. The functional is PBE.

```
Cs2NaReO4
1.0
-5.2821 -2.8258 -0.6355
0.5975 -7.3769 -0.7157
-3.3261 -2.4823 10.1319
Cs Na Re O
4 2 2 8
Direct
0.1767 0.0000 0.6465 Cs
0.8233 0.0000 0.3535 Cs
0.5733 0.5000 0.8535 Cs
0.9267 0.5000 0.1465 Cs
0.7500 0.5000 0.5000 Na
0.0000 0.0000 0.0000 Na
0.2500 0.5000 0.5000 Re
0.5000 0.0000 0.0000 Re
0.3613 0.8150 0.0474 O
0.2238 0.1850 0.9526 O
0.8237 0.8150 0.9526 O
0.5912 0.1850 0.0474 O
0.3887 0.6850 0.4526 O
0.5262 0.3150 0.5474 O
0.9263 0.6850 0.5474 O
0.1588 0.3150 0.4526 O
```

Summary:
energy relative to the elements, uncorrected	-1.521	eV/atom



This record from Alexandria describes crystalline CsTi2GaO6 at its relaxed geometry. The functional is PBE.

```
CsTi2GaO6
1.0
6.2596 -0.0190 -0.0197
1.9908 7.8388 -0.7831
1.9908 -1.0731 7.8044
Cs Ti Ga O
2 4 2 12
Direct
0.2500 0.8612 0.1388 Cs
0.7500 0.1388 0.8612 Cs
0.3674 0.7998 0.6403 Ti
0.1326 0.3597 0.2002 Ti
0.6326 0.2002 0.3597 Ti
0.8674 0.6403 0.7998 Ti
0.2500 0.2677 0.7323 Ga
0.7500 0.7323 0.2677 Ga
0.2621 0.0334 0.6839 O
0.2379 0.3161 0.9666 O
0.7379 0.9666 0.3161 O
0.7621 0.6839 0.0334 O
0.4816 0.7130 0.4066 O
0.0184 0.5934 0.2870 O
0.5184 0.2870 0.5934 O
0.9816 0.4066 0.7130 O
0.1053 0.7397 0.7455 O
0.3947 0.2545 0.2603 O
0.8947 0.2603 0.2545 O
0.6053 0.7455 0.7397 O
```

Summary:
energy relative to the elements, uncorrected	-2.566	eV/atom



This record from Alexandria describes crystalline K3In2Ag4 at its relaxed geometry. The functional is PBE.

```
K3In2Ag4
1.0
-2.4121 -4.1714 -0.4904
3.0450 0.3463 5.9951
-8.3316 4.6777 1.1906
K In Ag
3 2 4
Direct
0.3752 0.7503 0.6258 K
0.0000 0.0000 0.0000 K
0.6248 0.2497 0.3742 K
0.3159 0.6319 0.2311 In
0.6841 0.3681 0.7689 In
0.7512 0.5023 0.0805 Ag
0.0846 0.1691 0.6327 Ag
0.9154 0.8309 0.3673 Ag
0.2488 0.4977 0.9195 Ag
```

Summary:
formation energy from the elements	-61	meV per atom



This record from Alexandria describes crystalline KCe2PmTe4 at its relaxed geometry. The functional is PBE.

```
KCe2PmTe4
1.0
4.5256 0.0000 0.0000
0.0000 7.9606 -0.2018
0.0000 2.7571 7.4780
K Ce Pm Te
1 2 1 4
Direct
0.5000 0.5000 0.0000 K
0.0000 0.0000 0.0000 Ce
0.5000 0.0000 0.5000 Ce
0.0000 0.5000 0.5000 Pm
0.0000 0.7603 0.7368 Te
0.0000 0.2397 0.2632 Te
0.5000 0.7519 0.2564 Te
0.5000 0.2481 0.7436 Te
```

Summary:
energy relative to the elements, uncorrected	-1.333	eV/atom



This record from Alexandria describes crystalline TiInAu2Cl at its relaxed geometry. The functional is PBE.

```
TiInAu2Cl
1.0
-0.5701 -0.6664 -5.0951
-3.1573 -3.9789 0.8737
-4.0465 3.2179 0.0319
Cl Ti Au In
1 1 2 1
Direct
0.0000 0.5000 0.0000 Cl
0.5000 0.5000 0.5000 Ti
0.0000 0.0000 0.5000 Au
0.5000 0.0000 0.0000 Au
0.0000 0.0000 0.0000 In
```

Summary:
energy relative to the elements, uncorrected	0.654	eV/atom



This record from Alexandria describes crystalline Pm12Ho5Er2 at its relaxed geometry. The functional is PBE.

```
Pm12Ho5Er2
1.0
11.6847 0.0000 0.0000
-5.8423 8.8903 0.8065
0.0000 -1.8913 5.9107
Pm Ho Er
12 5 2
Direct
0.1194 0.2388 0.0025 Pm
0.0602 0.6064 0.8013 Pm
0.5462 0.6064 0.8013 Pm
0.1453 0.7930 0.3831 Pm
0.6477 0.7930 0.3831 Pm
0.4440 0.8879 0.7261 Pm
0.5560 0.1121 0.2739 Pm
0.8547 0.2070 0.6169 Pm
0.3523 0.2070 0.6169 Pm
0.9398 0.3936 0.1987 Pm
0.4538 0.3936 0.1987 Pm
0.8806 0.7612 0.9975 Pm
0.2160 0.4320 0.5549 Ho
0.3224 0.6448 0.1398 Ho
0.0000 0.0000 0.5000 Ho
0.6776 0.3552 0.8602 Ho
0.7840 0.5680 0.4451 Ho
0.7686 0.0000 0.0000 Er
0.2314 0.0000 0.0000 Er
```

Summary:
formation energy from the elements	101	meV per atom
offset from the most stable computed form	0.0000	eV/atom



This record from Alexandria describes crystalline HfHgS2 at its relaxed geometry. The functional is PBE.

```
HfHgS2
1.0
-5.6213 -5.2014 9.0565
-5.6448 -2.3609 -0.9573
-0.6630 -2.3783 -5.6796
S Hf Hg
4 2 2
Direct
0.3495 0.9373 0.6630 S
0.8495 0.8370 0.5627 S
0.1588 0.8728 0.0274 S
0.6588 0.4726 0.6272 S
0.2543 0.1190 0.1310 Hf
0.7543 0.3690 0.3810 Hf
0.2547 0.5471 0.7040 Hg
0.7547 0.7960 0.9529 Hg
```

Summary:
energy relative to the elements, uncorrected	-0.861	eV/atom



This record from Alexandria describes crystalline ZrInIr2 at its relaxed geometry. The functional is PBE.

```
ZrInIr2
1.0
-0.3117 3.4638 2.6566
-2.3576 -1.4385 1.5991
2.3084 -2.8736 4.0177
In Ir Zr
1 2 1
Direct
0.5000 0.7806 0.8152 In
0.0000 0.2081 0.9610 Ir
0.5000 0.0427 0.2877 Ir
0.0000 0.4686 0.4361 Zr
```

Summary:
formation energy from the elements	-403	meV per atom



This record from Alexandria describes crystalline Tl3Au2Se3 at its relaxed geometry. The functional is PBE.

```
Tl3Au2Se3
1.0
9.8384 -0.4726 0.4603
-0.4597 9.8390 0.4603
0.4732 0.4726 9.8378
Tl Au Se
12 8 12
Direct
0.8400 0.3042 0.9405 Tl
0.1600 0.6958 0.0595 Tl
0.3028 0.1705 0.5313 Tl
0.1705 0.4687 0.6972 Tl
0.4687 0.3028 0.8295 Tl
0.3042 0.0595 0.1600 Tl
0.6972 0.8295 0.4687 Tl
0.8295 0.5313 0.3028 Tl
0.9405 0.1600 0.3042 Tl
0.0595 0.8400 0.6958 Tl
0.6958 0.9405 0.8400 Tl
0.5313 0.6972 0.1705 Tl
0.7745 0.3126 0.6130 Au
0.2255 0.6874 0.3870 Au
0.3126 0.3870 0.2255 Au
0.6874 0.6130 0.7745 Au
0.3870 0.7745 0.6874 Au
0.8641 0.8641 0.1359 Au
0.6130 0.2255 0.3126 Au
0.1359 0.1359 0.8641 Au
0.8745 0.6860 0.9642 Se
0.8811 0.5497 0.6224 Se
0.9642 0.1255 0.6860 Se
0.6860 0.0358 0.1255 Se
0.0358 0.8745 0.3140 Se
0.1189 0.4503 0.3776 Se
0.4503 0.6224 0.8811 Se
0.3776 0.8811 0.4503 Se
0.6224 0.1189 0.5497 Se
0.3140 0.9642 0.8745 Se
0.5497 0.3776 0.1189 Se
0.1255 0.3140 0.0358 Se
```

Summary:
energy relative to the elements, uncorrected	-0.180	eV/atom



This record from Alexandria describes crystalline EuY2Ir at its relaxed geometry. The functional is PBE.

```
EuY2Ir
1.0
-1.7344 -2.7463 1.3496
2.1607 -0.0006 2.7755
-5.7634 5.8454 4.4880
Eu Y Ir
1 2 1
Direct
0.5000 0.5000 0.5000 Eu
0.0000 0.0000 0.8275 Y
0.0000 0.0000 0.1725 Y
0.5000 0.5000 0.0000 Ir
```

Summary:
formation energy from the elements	-391	meV per atom
offset from the most stable computed form	0.0000	eV/atom